VASP calculation (PBE+U) on a relaxed structure of SmY2WO8.

a = 7.1308 Å, b = 7.2064 Å, c = 6.9282 Å
α = 90.00°, β = 90.00°, γ = 90.00°
Space group Cmmm (No. 65)
Unique sites:
Sm1 0.0000 0.0000 0.0000 [2 per cell]
Y1 0.0000 0.5000 0.2550 [4 per cell]
W1 0.0000 0.0000 0.5000 [2 per cell]
O1 0.0000 0.1836 0.2920 [8 per cell]
O2 0.1865 0.5000 0.0000 [4 per cell]
O3 0.2246 0.5000 0.5000 [4 per cell]

Results
energy = -196.55 eV per cell
magnetic moment = 0.89 μB/f.u.